Below is an optimized crystal structure of U4Tc4Ru, with properties calculated at the GGA-PBE level.

Structure (CIF):
```
data_U4Tc4Ru
_chemical_formula_sum 'U8 Tc8 Ru2'
_cell_length_a 8.018
_cell_length_b 8.018
_cell_length_c 5.666
_cell_angle_alpha 90.00
_cell_angle_beta 90.00
_cell_angle_gamma 90.00
_space_group_name_H-M_alt 'P 1'
_space_group_IT_number 1
_space_group_name_Hall 'P 1'
loop_
_atom_site_label
_atom_site_fract_x
_atom_site_fract_y
_atom_site_fract_z
_atom_site_occupancy
U1 0.500 0.731 0.815 1
U2 0.500 0.269 0.815 1
U3 0.731 0.500 0.185 1
U4 0.269 0.500 0.185 1
U5 0.231 0.000 0.315 1
U6 0.769 0.000 0.315 1
U7 0.000 0.231 0.685 1
U8 0.000 0.769 0.685 1
Tc1 0.201 0.500 0.778 1
Tc2 0.799 0.500 0.778 1
Tc3 0.500 0.799 0.222 1
Tc4 0.500 0.201 0.222 1
Tc5 0.000 0.701 0.278 1
Tc6 0.000 0.299 0.278 1
Tc7 0.299 0.000 0.722 1
Tc8 0.701 0.000 0.722 1
Ru1 0.000 0.000 0.000 1
Ru2 0.500 0.500 0.500 1
```

Output
**M_tot**: 0.00 μB per cell
**Total energy**: -10.329 eV/atom
**DFT formation energy**: 0.3253 eV/atom